1.
Entry from Alexandria: crystalline InPtAu2 at its relaxed geometry (GGA-PBE).

Lattice parameters (Å, degrees): 9.037 9.037 9.037 19.84 19.84 19.84
Element x y z (fractional)
Au  0.250  0.250  0.250
Au  0.002  0.002  0.002
Pt  0.752  0.752  0.752
In  0.497  0.497  0.497

Output
Calculated volume in Å³/f.u.: 74
DFT formation energy in kJ per mole of atoms: -2
Calculated total energy in eV/atom: -3.85

2.
Entry from Alexandria: crystalline LiBe at its relaxed geometry (GGA-PBE).

Lattice parameters (Å, degrees): 4.509 4.509 6.786 70.05 70.05 33.02
Element x y z (fractional)
Li  0.639  0.639  0.722
Li  0.958  0.958  0.513
Li  0.320  0.320  0.931
Be  0.986  0.986  0.113
Be  0.639  0.639  0.222
Be  0.292  0.292  0.332

Output
Calculated volume in Å³/f.u.: 23
DFT formation energy in kJ per mole of atoms: 14
Calculated total energy in eV/atom: -2.67

3.
Entry from Alexandria: crystalline Ca8Cd2Ge at its relaxed geometry (GGA-PBE).

Lattice parameters (Å, degrees): 5.176 8.670 9.378 117.53 106.02 90.00
Element x y z (fractional)
Cd  0.812  0.312  0.625
Cd  0.188  0.688  0.375
Ca  0.000  0.307  0.000
Ca  0.661  0.437  0.322
Ca  0.862  0.862  0.724
Ca  0.339  0.563  0.678
Ca  0.138  0.138  0.276
Ca  0.661  0.886  0.322
Ca  0.339  0.114  0.678
Ca  0.000  0.693  0.000
Ge  0.500  0.000  0.000

Output
Calculated volume in Å³/f.u.: 355
DFT formation energy in kJ per mole of atoms: -19
Calculated total energy in eV/atom: -2.24

4.
Entry from Alexandria: crystalline LaRe2Ni at its relaxed geometry (GGA-PBE).

Lattice parameters (Å, degrees): 5.788 5.788 5.788 141.77 141.77 55.17
Element x y z (fractional)
Re  0.000  0.000  0.000
Re  0.500  0.500  0.000
La  0.250  0.750  0.500
Ni  0.750  0.250  0.500

Output
Calculated volume in Å³/f.u.: 74
DFT formation energy in kJ per mole of atoms: 68
Calculated total energy in eV/atom: -8.19

5.
Entry from Alexandria: crystalline CaSc2Cr at its relaxed geometry (GGA-PBE).

Lattice parameters (Å, degrees): 3.566 3.566 7.997 90.00 90.00 90.00
Element x y z (fractional)
Cr  0.500  0.500  0.803
Sc  0.500  0.500  0.202
Sc  0.000  0.000  0.958
Ca  0.000  0.000  0.537

Output
Calculated volume in Å³/f.u.: 102
DFT formation energy in kJ per mole of atoms: 32
Calculated total energy in eV/atom: -5.74

6.
Entry from Alexandria: crystalline Y2BiC at its relaxed geometry (GGA-PBE).

Lattice parameters (Å, degrees): 3.804 6.327 17.533 90.00 90.00 90.00
Element x y z (fractional)
Y  0.750  0.267  0.890
Y  0.250  0.330  0.696
Y  0.250  0.233  0.390
Y  0.250  0.830  0.804
Y  0.250  0.733  0.110
Y  0.750  0.767  0.610
Y  0.750  0.170  0.196
Y  0.750  0.670  0.304
Bi  0.750  0.260  0.550
Bi  0.250  0.240  0.050
Bi  0.750  0.760  0.950
Bi  0.250  0.740  0.450
C  0.750  0.802  0.183
C  0.250  0.698  0.683
C  0.250  0.198  0.817
C  0.750  0.302  0.317

Output
Calculated volume in Å³/f.u.: 105
DFT formation energy in kJ per mole of atoms: -28
Calculated total energy in eV/atom: -6.80